No. 1
Compound: GaSiSn2
Source: the Alexandria database
Functional: PBE
Structure: relaxed

Lattice parameters (Å, degrees): 6.206 6.206 12.070 90.00 90.00 90.00
Space group I-42d (No. 122)
Inequivalent atoms, fractional coordinates:
Ga: 0.000 0.000 0.000
Si: 0.000 0.000 0.500
Sn: 0.241 0.250 0.625

The formation energy without anion corrections is 3.5 kcal/mol of atoms. The total magnetization is 0.00 μB/f.u. The calculation puts the energy above the most stable polymorph in this dataset at 0 meV per atom. As for the total energy: -3.961 eV per atom.

***

No. 2
Compound: GaSiSn
Source: the Alexandria database
Functional: PBE
Structure: relaxed

Lattice parameters (Å, degrees): 3.900 3.900 4.998 90.00 90.00 90.00
Space group P4/mmm (No. 123)
Inequivalent atoms, fractional coordinates:
Ga: 0.000 0.000 0.000
Si: 0.000 0.000 0.500
Sn: 0.500 0.500 0.500

The formation energy without anion corrections is 9.0 kcal/mol of atoms. The total magnetization is 0.00 μB/f.u. As for the total energy: -3.759 eV per atom.

***

No. 3
Compound: Ga3SiSn
Source: the Alexandria database
Functional: PBE
Structure: relaxed

Lattice parameters (Å, degrees): 5.240 5.240 5.240 90.00 90.00 90.00
Space group Pm-3m (No. 221)
Inequivalent atoms, fractional coordinates:
Ga: 0.000 0.000 0.500
Si: 0.500 0.500 0.500
Sn: 0.000 0.000 0.000

The formation energy without anion corrections is 20.9 kcal/mol of atoms. The total magnetization is 0.00 μB/f.u. The calculation puts the energy above the most stable polymorph in this dataset at 582 meV per atom. As for the total energy: -2.794 eV per atom.

***

No. 4
Compound: Ga12Si5Sn3
Source: the Alexandria database
Functional: PBE
Structure: relaxed

Lattice parameters (Å, degrees): 15.450 15.450 15.450 90.00 90.00 90.00
Space group Ia-3d (No. 230)
Inequivalent atoms, fractional coordinates:
Ga: 0.026 0.069 0.647
Si: 0.000 0.000 0.000
Si: 0.000 0.250 0.375
Sn: 0.000 0.250 0.125

The formation energy without anion corrections is 4.8 kcal/mol of atoms. The total magnetization is 0.00 μB/f.u. As for the total energy: -3.565 eV per atom.

***

No. 5
Compound: Ga2SiSn2
Source: the Alexandria database
Functional: PBE
Structure: relaxed

Lattice parameters (Å, degrees): 8.002 8.002 3.607 90.00 90.00 90.00
Space group P4/mbm (No. 127)
Inequivalent atoms, fractional coordinates:
Ga: 0.122 0.378 0.000
Si: 0.000 0.000 0.500
Sn: 0.180 0.680 0.500

The formation energy without anion corrections is 7.3 kcal/mol of atoms. The total magnetization is 0.00 μB/f.u. The calculation puts the energy above the most stable polymorph in this dataset at 119 meV per atom. As for the total energy: -3.578 eV per atom.

***

No. 6
Compound: Ga2Si2Sn
Source: the Alexandria database
Functional: PBE
Structure: relaxed

Lattice parameters (Å, degrees): 4.617 4.617 9.383 90.00 90.00 90.00
Space group I4/mmm (No. 139)
Inequivalent atoms, fractional coordinates:
Ga: 0.000 0.500 0.250
Si: 0.000 0.000 0.125
Sn: 0.000 0.000 0.500

The formation energy without anion corrections is 4.8 kcal/mol of atoms. The total magnetization is 0.00 μB/f.u. The calculation puts the energy above the most stable polymorph in this dataset at 0 meV per atom. As for the total energy: -3.973 eV per atom.

***

No. 7
Compound: GaSi2Sn
Source: the Alexandria database
Functional: PBE
Structure: relaxed

Lattice parameters (Å, degrees): 6.757 6.757 6.757 90.00 90.00 90.00
Space group Fm-3m (No. 225)
Inequivalent atoms, fractional coordinates:
Ga: 0.000 0.000 0.000
Si: 0.250 0.250 0.250
Sn: 0.000 0.000 0.500

The formation energy without anion corrections is 10.6 kcal/mol of atoms. The total magnetization is 0.00 μB/f.u. The calculation puts the energy above the most stable polymorph in this dataset at 240 meV per atom. As for the total energy: -4.009 eV per atom.

***

No. 8
Compound: Ga2Si2Sn
Source: the Alexandria database
Functional: PBE
Structure: relaxed

Lattice parameters (Å, degrees): 7.909 7.909 3.046 90.00 90.00 90.00
Space group P4/mbm (No. 127)
Inequivalent atoms, fractional coordinates:
Ga: 0.148 0.352 0.000
Si: 0.142 0.642 0.500
Sn: 0.000 0.000 0.000

The formation energy without anion corrections is 7.2 kcal/mol of atoms. The total magnetization is 0.00 μB/f.u. The calculation puts the energy above the most stable polymorph in this dataset at 103 meV per atom. As for the total energy: -3.870 eV per atom.

***

No. 9
Compound: GaSiSn2
Source: the Alexandria database
Functional: PBE
Structure: relaxed

Lattice parameters (Å, degrees): 7.095 7.095 7.095 90.00 90.00 90.00
Space group Fm-3m (No. 225)
Inequivalent atoms, fractional coordinates:
Ga: 0.000 0.000 0.000
Si: 0.000 0.000 0.500
Sn: 0.250 0.250 0.250

The formation energy without anion corrections is 6.5 kcal/mol of atoms. The total magnetization is 0.00 μB/f.u. The calculation puts the energy above the most stable polymorph in this dataset at 128 meV per atom. As for the total energy: -3.833 eV per atom.

***

No. 10
Compound: Ga2SiSn2
Source: the Alexandria database
Functional: PBE
Structure: relaxed

Lattice parameters (Å, degrees): 6.529 6.529 5.338 90.00 90.00 90.00
Space group P4/mbm (No. 127)
Inequivalent atoms, fractional coordinates:
Ga: 0.137 0.363 0.000
Si: 0.000 0.000 0.000
Sn: 0.215 0.715 0.500

The formation energy without anion corrections is 4.6 kcal/mol of atoms. The total magnetization is 0.00 μB/f.u. The calculation puts the energy above the most stable polymorph in this dataset at 0 meV per atom. As for the total energy: -3.697 eV per atom.

***

No. 11
Compound: Ga2Si2Sn
Source: the Alexandria database
Functional: PBE
Structure: relaxed

Lattice parameters (Å, degrees): 7.942 7.942 3.026 90.00 90.00 90.00
Space group P4/mbm (No. 127)
Inequivalent atoms, fractional coordinates:
Ga: 0.138 0.362 0.000
Si: 0.158 0.658 0.500
Sn: 0.000 0.000 0.500

The formation energy without anion corrections is 6.0 kcal/mol of atoms. The total magnetization is 0.00 μB/f.u. The calculation puts the energy above the most stable polymorph in this dataset at 51 meV per atom. As for the total energy: -3.922 eV per atom.

***

No. 12
Compound: Ga3SiSn
Source: the Alexandria database
Functional: PBE
Structure: relaxed

Lattice parameters (Å, degrees): 4.870 4.870 4.870 90.00 90.00 90.00
Space group Pm-3m (No. 221)
Inequivalent atoms, fractional coordinates:
Ga: 0.000 0.000 0.500
Si: 0.000 0.000 0.000
Sn: 0.500 0.500 0.500

The formation energy without anion corrections is 7.5 kcal/mol of atoms. The total magnetization is 0.00 μB/f.u. The calculation puts the energy above the most stable polymorph in this dataset at 0 meV per atom. As for the total energy: -3.376 eV per atom.